Density functional theory data (PBE-GGA) for SmAgPt after structural relaxation.

Calculated values
The calculation puts the formation energy at -0.64 eV/atom. The value obtained for the distance to the lowest polymorph of the same formula is 0.00 eV per formula unit. The symmetry is F-43m (216). The value obtained for the volume is 24.6 Å³/atom. The calculation puts the spin magnetization at 0.00 μB/cell.

a = 4.711 Å, b = 4.711 Å, c = 4.711 Å
α = 60.00°, β = 60.00°, γ = 60.00°
Fractional coordinates of all 3 atoms:
Sm1 0.000 0.000 0.000
Ag1 0.500 0.500 0.500
Pt1 0.750 0.750 0.750